Record 1
A relaxed P2CS2 crystal. Source: Alexandria, functional PBE.

Calculated values
- Theoretical density: 2.5 g/cm³
- Formation energy without anion corrections: 2.22 eV per atom
- Final energy: -3.4445 eV/atom
- Volume: 90 Å³/f.u.
- Symmetry: P4/mmm, No. 123
- Excess energy over the best structure of this formula in the dataset: 19.22 kcal/mol of atoms

Cell: 4.525 4.525 4.394 Å, 90.00 90.00 90.00°
Fractional positions:
P 0.000 0.500 0.000
P 0.500 0.000 0.000
C 0.000 0.000 0.500
S 0.500 0.500 0.000
S 0.500 0.500 0.500



Record 2
A relaxed P3CS crystal. Source: Alexandria, functional PBE.

Calculated values
- Theoretical density: 2.6 g/cm³
- Formation energy without anion corrections: 2.26 eV per atom
- Final energy: -3.6608 eV/atom
- Volume: 88 Å³/f.u.
- Symmetry: Pm-3m, No. 221
- Excess energy over the best structure of this formula in the dataset: 20.61 kcal/mol of atoms

Cell: 4.453 4.453 4.453 Å, 90.00 90.00 90.00°
Fractional positions:
P 0.000 0.000 0.500
P 0.000 0.500 0.000
P 0.500 0.000 0.000
C 0.500 0.500 0.500
S 0.000 0.000 0.000